[1]
## Sr2ScRu (PBE)

Data for Sr2ScRu after structural relaxation.

The structure in CIF format:
```
data_Sr2ScRu
_cell_length_a 3.586
_cell_length_b 3.586
_cell_length_c 32.472
_cell_angle_alpha 90.00
_cell_angle_beta 90.00
_cell_angle_gamma 120.00
_symmetry_space_group_name_H-M 'P 1'
_symmetry_Int_Tables_number 1
loop_
_symmetry_equiv_pos_as_xyz
'x,y,z'
loop_
_atom_site_label
_atom_site_type_symbol
_atom_site_fract_x
_atom_site_fract_y
_atom_site_fract_z
Sr1 Sr 0.000 0.000 0.232
Sr2 Sr 0.000 0.000 0.768
Sr3 Sr 0.333 0.667 0.434
Sr4 Sr 0.333 0.667 0.899
Sr5 Sr 0.667 0.333 0.101
Sr6 Sr 0.667 0.333 0.566
Sc1 Sc 0.000 0.000 0.000
Sc2 Sc 0.333 0.667 0.667
Sc3 Sc 0.667 0.333 0.333
Ru1 Ru 0.000 0.000 0.500
Ru2 Ru 0.333 0.667 0.167
Ru3 Ru 0.667 0.333 0.833
```

For the polymorph energy (0 for the lowest one), the calculation gives 610.3 meV per atom. The formation energy is 643 meV per atom. The total DFT energy (no corrections) comes out at -49.20 eV for the cell shown. The space group is R-3m (166). The total magnetization comes out at 0.306 μB/atom.



[2]
## Sr2ScRu (PBE)

Data for Sr2ScRu after structural relaxation.

The structure in CIF format:
```
data_Sr2ScRu
_cell_length_a 3.583
_cell_length_b 3.583
_cell_length_c 9.483
_cell_angle_alpha 90.00
_cell_angle_beta 90.00
_cell_angle_gamma 90.00
_symmetry_space_group_name_H-M 'P 1'
_symmetry_Int_Tables_number 1
loop_
_symmetry_equiv_pos_as_xyz
'x,y,z'
loop_
_atom_site_label
_atom_site_type_symbol
_atom_site_fract_x
_atom_site_fract_y
_atom_site_fract_z
Sr1 Sr 0.000 0.000 0.000
Sr2 Sr 0.500 0.500 0.381
Sc1 Sc 0.500 0.500 0.718
Ru1 Ru 0.000 0.000 0.611
```

For the polymorph energy (0 for the lowest one), the calculation gives 0.0 meV per atom. The formation energy is 33 meV per atom. The total DFT energy (no corrections) comes out at -18.84 eV for the cell shown. The space group is P4mm (99). The total magnetization comes out at 0.000 μB/atom.



Question: Look up the polymorph energy (0 for the lowest one) of the first one.
Answer: 610.3 meV per atom